No. 1
Density functional theory data (PBE-GGA) for an optimized crystal structure of DyInSb2.

Cell and atoms, written as POSCAR:
```
DyInSb2
1.0
4.3233 0.0000 0.0000
2.1617 3.7441 0.0000
2.1617 1.2480 7.3979
Dy Sb In
1 2 1
Cartesian
4.3233 2.4961 3.6989
6.4850 3.7441 5.5803
2.1617 1.2480 1.8176
0.0000 0.0000 0.0000
```

## Properties
**Electronic total energy**: -4.2752 eV per atom
**V**: 29.94 A^3/atom
**Energy above the most stable polymorph in this dataset**: 59 meV/atom

No. 2
Density functional theory data (PBE-GGA) for an optimized crystal structure of NaMnTe.

Cell and atoms, written as POSCAR:
```
NaMnTe
1.0
7.1466 -0.0260 -0.0542
0.1360 7.1454 -0.0542
3.1712 3.1001 6.3632
Te Mn Na
4 4 4
Cartesian
5.5255 3.1864 1.1584
1.4536 6.9332 0.9747
8.5499 2.8461 4.1563
4.8964 7.0019 4.3400
6.8670 8.2725 2.7508
2.4322 7.5672 3.3813
10.0116 8.2278 5.9324
6.0348 0.7100 0.1997
7.0854 5.2504 3.0323
6.9952 8.5147 6.2139
4.4584 3.5213 4.1433
2.0359 2.8274 0.9617
```

## Properties
**Electronic total energy**: -4.6949 eV per atom
**V**: 27.28 A^3/atom

No. 3
Density functional theory data (PBE-GGA) for an optimized crystal structure of Sm2HoAu2.

Cell and atoms, written as POSCAR:
```
Sm2HoAu2
1.0
-2.7335 -0.7480 2.6238
5.6458 -3.5864 4.8593
1.4953 7.2749 3.6318
Au Ho Sm
4 2 4
Cartesian
5.8489 1.4759 6.5142
1.2921 2.2127 1.9769
3.7597 -1.3093 3.5435
3.3814 4.9978 4.9476
3.5705 1.8443 4.2456
0.0000 0.0000 0.0000
0.5620 3.8735 4.5322
0.7697 -0.3708 3.5386
3.8456 -0.9330 6.5828
3.6379 3.3113 7.5764
```

## Properties
**Electronic total energy**: -4.7833 eV per atom
**V**: 26.40 A^3/atom

No. 4
Density functional theory data (PBE-GGA) for an optimized crystal structure of MnFeSiGe.

Cell and atoms, written as POSCAR:
```
MnFeSiGe
1.0
2.7365 0.0000 0.0000
0.0000 2.7365 0.0000
0.0000 0.0000 13.7923
Mn Ge Si Fe
2 2 2 2
Cartesian
1.3682 1.3682 4.1406
0.0000 0.0000 11.0368
1.3682 1.3682 12.6131
0.0000 0.0000 5.7169
1.3682 1.3682 1.2531
0.0000 0.0000 8.1493
1.3682 1.3682 9.4182
0.0000 0.0000 2.5221
```

## Properties
**Electronic total energy**: -7.0518 eV per atom
**V**: 12.91 A^3/atom
**Energy above the most stable polymorph in this dataset**: 15 meV/atom

No. 5
Density functional theory data (PBE-GGA) for an optimized crystal structure of PmNdYTl.

Cell and atoms, written as POSCAR:
```
PmNdYTl
1.0
5.5699 0.0000 0.0000
2.7850 4.8237 0.0000
2.7850 1.6079 4.5478
Y Nd Tl Pm
1 1 1 1
Cartesian
5.5699 3.2158 2.2739
0.0000 0.0000 0.0000
2.7850 1.6079 1.1370
8.3549 4.8237 3.4109
```

## Properties
**Electronic total energy**: -4.6305 eV per atom
**V**: 30.55 A^3/atom
**Energy above the most stable polymorph in this dataset**: 159 meV/atom

No. 6
Density functional theory data (PBE-GGA) for an optimized crystal structure of CaRu2Se.

Cell and atoms, written as POSCAR:
```
CaRu2Se
1.0
2.9869 0.0000 0.0000
0.0000 3.9527 0.0000
0.0000 0.0000 6.1682
Ru Ca Se
2 1 1
Cartesian
1.4934 1.9764 1.3595
0.0000 0.0000 0.4144
1.4934 1.9764 4.6052
0.0000 0.0000 2.8732
```

## Properties
**Electronic total energy**: -5.9490 eV per atom
**V**: 18.21 A^3/atom